A plane-wave DFT calculation with PBE was carried out for an optimized crystal structure of Sm2BeCo2.

* crystal system: monoclinic
* VASP energy: -55.78 eV per cell
* symmetry: C2/c, No. 15
* density of states at the Fermi level: 3.4 states/eV/f.u.

Unit cell a=5.497 b=5.497 c=7.124 alpha=78.59 beta=78.59 gamma=58.23
Fractional coordinates of all 10 atoms:
Co  0.001  0.240  0.990
Co  0.240  0.001  0.490
Co  0.999  0.760  0.010
Co  0.760  0.999  0.510
Be  0.896  0.104  0.750
Be  0.104  0.896  0.250
Sm  0.223  0.476  0.653
Sm  0.777  0.524  0.347
Sm  0.524  0.777  0.847
Sm  0.476  0.223  0.153